A relaxed LiLaTa2O7 crystal. Source: Alexandria via LeMat-Bulk, functional GGA-PBEsol.

a b c (Å): 3.865 3.865 10.231
angles (deg): 100.89 100.89 90.00
Sites, in units of the cell vectors:
O  0.594  0.094  0.187
O  0.000  0.000  0.000
O  0.091  0.591  0.183
O  0.794  0.794  0.588
O  0.906  0.406  0.813
O  0.206  0.206  0.412
O  0.409  0.909  0.817
La  0.500  0.500  0.000
Ta  0.115  0.115  0.229
Ta  0.885  0.885  0.771
Li  0.750  0.250  0.500

Density of states at the Fermi level: 0.000 states/eV per atom
Formation energy from raw total energies: -2944 meV per atom


A relaxed Tl3MoAs crystal. Source: Alexandria via LeMat-Bulk, functional GGA-PBEsol.

a b c (Å): 5.412 5.412 5.412
angles (deg): 90.00 90.00 90.00
Last column: magnetic moment on the atom in μB.
Sites, in units of the cell vectors:
Tl  0.000  0.500  0.000  -0.01
Tl  0.500  0.000  0.000  -0.01
Tl  0.000  0.000  0.500  -0.01
Mo  0.500  0.500  0.500  3.92
As  0.000  0.000  0.000  0.01

DFT total energy: -18.1 eV for the cell shown
Density of states at the Fermi level: 0.751 states/eV per atom


A relaxed ScTaNi crystal. Source: Alexandria via LeMat-Bulk, functional GGA-PBEsol.

a b c (Å): 3.065 4.312 4.312
angles (deg): 120.00 90.00 90.00
Sites, in units of the cell vectors:
Ni  0.063  0.000  0.000
Ta  0.247  0.333  0.667
Sc  0.691  0.667  0.333

Density of states at the Fermi level: 1.127 states/eV per atom
ΔE to the lowest computed polymorph: 0.00 eV per formula unit


A relaxed Rh2O3 crystal. Source: Alexandria via LeMat-Bulk, functional GGA-PBEsol.

a b c (Å): 5.164 5.345 7.226
angles (deg): 90.00 90.00 90.00
Sites, in units of the cell vectors:
O  0.893  0.612  0.651
O  0.550  0.250  0.500
O  0.107  0.388  0.349
O  0.607  0.388  0.151
O  0.050  0.250  0.000
O  0.393  0.888  0.151
O  0.893  0.888  0.349
O  0.393  0.612  0.849
O  0.607  0.112  0.849
O  0.450  0.750  0.500
O  0.107  0.112  0.651
O  0.950  0.750  0.000
Rh  0.250  0.531  0.107
Rh  0.250  0.969  0.893
Rh  0.750  0.969  0.607
Rh  0.250  0.031  0.393
Rh  0.750  0.531  0.393
Rh  0.750  0.469  0.893
Rh  0.250  0.469  0.607
Rh  0.750  0.031  0.107

Formation energy from raw total energies: -731 meV per atom


A relaxed SrPt2Pb crystal. Source: Alexandria via LeMat-Bulk, functional GGA-PBEsol.

a b c (Å): 4.666 4.666 5.769
angles (deg): 66.15 66.15 60.00
Sites, in units of the cell vectors:
Pt  0.701  0.701  0.896
Pt  0.299  0.299  0.104
Sr  0.500  0.500  0.500
Pb  0.000  0.000  0.000

DFT total energy: -21.5 eV for the cell shown
Density of states at the Fermi level: 0.451 states/eV per atom


A relaxed Mo15Se19 crystal. Source: Alexandria via LeMat-Bulk, functional GGA-PBEsol.

a b c (Å): 9.404 9.404 19.542
angles (deg): 90.00 90.00 120.00
Sites, in units of the cell vectors:
Se  0.000  0.000  0.338
Se  0.333  0.667  0.531
Se  0.700  0.036  0.250
Se  0.293  0.332  0.048
Se  0.332  0.038  0.952
Se  0.707  0.668  0.548
Se  0.667  0.333  0.469
Se  0.999  0.625  0.856
Se  0.962  0.293  0.548
Se  0.001  0.375  0.144
Se  0.664  0.700  0.750
Se  0.374  0.999  0.356
Se  0.626  0.001  0.644
Se  0.375  0.374  0.644
Se  0.668  0.962  0.452
Se  0.668  0.962  0.048
Se  0.667  0.333  0.031
Se  0.001  0.375  0.356
Se  0.336  0.300  0.250
Se  0.300  0.964  0.750
Se  0.293  0.332  0.452
Se  0.964  0.664  0.250
Se  0.038  0.707  0.452
Se  0.000  0.000  0.662
Se  0.333  0.667  0.969
Se  0.036  0.336  0.750
Se  0.625  0.626  0.356
Se  0.626  0.001  0.856
Se  0.962  0.293  0.952
Se  0.000  0.000  0.838
Se  0.000  0.000  0.162
Se  0.374  0.999  0.144
Se  0.375  0.374  0.856
Se  0.038  0.707  0.048
Se  0.625  0.626  0.144
Se  0.999  0.625  0.644
Se  0.332  0.038  0.548
Se  0.707  0.668  0.952
Mo  0.493  0.311  0.133
Mo  0.163  0.652  0.750
Mo  0.174  0.022  0.440
Mo  0.837  0.348  0.250
Mo  0.348  0.511  0.750
Mo  0.511  0.163  0.250
Mo  0.978  0.151  0.060
Mo  0.689  0.182  0.133
Mo  0.652  0.489  0.250
Mo  0.849  0.826  0.060
Mo  0.689  0.182  0.367
Mo  0.818  0.507  0.133
Mo  0.493  0.311  0.367
Mo  0.182  0.493  0.867
Mo  0.022  0.849  0.560
Mo  0.311  0.818  0.633
Mo  0.507  0.689  0.633
Mo  0.818  0.507  0.367
Mo  0.174  0.022  0.060
Mo  0.022  0.849  0.940
Mo  0.978  0.151  0.440
Mo  0.151  0.174  0.560
Mo  0.151  0.174  0.940
Mo  0.507  0.689  0.867
Mo  0.826  0.978  0.560
Mo  0.489  0.837  0.750
Mo  0.182  0.493  0.633
Mo  0.849  0.826  0.440
Mo  0.826  0.978  0.940
Mo  0.311  0.818  0.867

Density of states at the Fermi level: 0.660 states/eV per atom
Formation energy from raw total energies: -521 meV per atom
ΔE to the lowest computed polymorph: 0.00 eV per formula unit


A relaxed IrOsRu2 crystal. Source: Alexandria via LeMat-Bulk, functional GGA-PBEsol.

a b c (Å): 2.681 4.652 4.647
angles (deg): 99.55 106.77 90.00
Sites, in units of the cell vectors:
Os  0.500  0.000  0.000
Ru  0.249  0.247  0.498
Ru  0.751  0.753  0.502
Ir  0.000  0.500  0.000

Density of states at the Fermi level: 0.865 states/eV per atom
ΔE to the lowest computed polymorph: 0.04 eV per formula unit


A relaxed LaAlCl2 crystal. Source: Alexandria via LeMat-Bulk, functional GGA-PBEsol.

a b c (Å): 3.508 3.508 9.533
angles (deg): 90.00 90.00 119.29
Sites, in units of the cell vectors:
La  0.500  0.500  0.500
Cl  0.000  0.000  0.733
Cl  0.000  0.000  0.267
Al  0.500  0.500  0.000

Density of states at the Fermi level: 0.507 states/eV per atom
Formation energy from raw total energies: -932 meV per atom
ΔE to the lowest computed polymorph: 0.80 eV per formula unit